[1]
## Tm3Lu4Ni2Te2 (GGA-PBE)

Data for a relaxed Tm3Lu4Ni2Te2 crystal.

```
Tm3Lu4Ni2Te2
1.0
-1.895 7.613 4.697
1.895 -7.613 4.697
1.895 7.613 -4.697
Tm Lu Ni Te
3 4 2 2
direct
0.000 0.000 0.000
0.310 0.624 0.685
0.939 0.624 0.315
0.284 0.419 0.865
0.553 0.419 0.135
0.625 0.272 0.354
0.918 0.272 0.646
0.167 0.931 0.236
0.694 0.931 0.764
0.268 0.768 0.500
0.661 0.661 0.000
```

## Properties
Its energy is -5.12 eV/atom. The energy above the most stable polymorph in this dataset comes out at 7.8 meV/atom.

[2]
## SrSm (GGA-PBE)

Data for a relaxed SrSm crystal.

```
SrSm
1.0
0.000 3.499 3.499
3.499 0.000 3.499
3.499 3.499 0.000
Sr Sm
1 1
direct
0.000 0.000 0.000
0.500 0.500 0.500
```

## Properties
Its energy is -2.39 eV/atom. The energy above the most stable polymorph in this dataset comes out at 613.5 meV/atom.

[3]
## TaIrPt (GGA-PBE)

Data for a relaxed TaIrPt crystal.

```
TaIrPt
1.0
0.000 3.036 3.036
3.036 0.000 3.036
3.036 3.036 0.000
Ta Ir Pt
1 1 1
direct
0.000 0.000 0.000
0.750 0.750 0.750
0.250 0.250 0.250
```

## Properties
Its energy is -9.23 eV/atom. As for the energy relative to the elements: -0.31 eV per atom. The energy above the most stable polymorph in this dataset comes out at 0.0 meV/atom.

[4]
## RbNdSiC4N8 (GGA-PBE)

Data for a relaxed RbNdSiC4N8 crystal.

```
RbNdSiC4N8
1.0
-4.227 4.227 3.349
4.227 -4.227 3.349
4.227 4.227 -3.349
Rb Nd Si C N
1 1 1 4 8
direct
0.000 0.000 0.000
0.250 0.750 0.500
0.750 0.250 0.500
0.095 0.178 0.531
0.436 0.905 0.083
0.647 0.564 0.469
0.822 0.353 0.917
0.010 0.292 0.474
0.177 0.071 0.581
0.404 0.823 0.894
0.463 0.990 0.282
0.490 0.596 0.419
0.708 0.182 0.718
0.818 0.537 0.526
0.929 0.510 0.106
```

## Properties
Its energy is -8.15 eV/atom.

[5]
## PuHgB (GGA-PBE)

Data for a relaxed PuHgB crystal.

```
PuHgB
1.0
0.000 3.099 3.099
3.099 0.000 3.099
3.099 3.099 0.000
Pu Hg B
1 1 1
direct
0.000 0.000 0.000
0.500 0.500 0.500
0.750 0.750 0.750
```

## Properties
Its energy is -6.75 eV/atom. The energy above the most stable polymorph in this dataset comes out at 0.0 meV/atom.

[6]
## DyTmIn (GGA-PBE)

Data for a relaxed DyTmIn crystal.

```
DyTmIn
1.0
5.344 0.000 0.000
-2.672 4.628 0.000
0.000 0.000 6.671
Dy Tm In
2 2 2
direct
0.333 0.667 0.250
0.667 0.333 0.750
0.000 0.000 0.000
0.000 0.000 0.500
0.333 0.667 0.750
0.667 0.333 0.250
```

## Properties
Its energy is -4.29 eV/atom. The energy above the most stable polymorph in this dataset comes out at 1.3 meV/atom.

[7]
## Na2MgH6Ir (GGA-PBE)

Data for a relaxed Na2MgH6Ir crystal.

```
Na2MgH6Ir
1.0
0.000 3.686 3.686
3.686 0.000 3.686
3.686 3.686 0.000
Na Mg H Ir
2 1 6 1
direct
0.250 0.250 0.250
0.750 0.750 0.750
0.000 0.000 0.000
0.268 0.268 0.732
0.268 0.732 0.268
0.268 0.732 0.732
0.732 0.268 0.268
0.732 0.268 0.732
0.732 0.732 0.268
0.500 0.500 0.500
```

## Properties
Its energy is -3.57 eV/atom.

[8]
## YCdCuBi (GGA-PBE)

Data for a relaxed YCdCuBi crystal.

```
YCdCuBi
1.0
0.000 3.620 3.620
3.620 0.000 3.620
3.620 3.620 0.000
Y Cd Cu Bi
1 1 1 1
direct
0.000 0.000 0.000
0.250 0.250 0.250
0.750 0.750 0.750
0.500 0.500 0.500
```

## Properties
Its energy is -3.87 eV/atom. The energy above the most stable polymorph in this dataset comes out at 0.0 meV/atom.

[9]
## Nd2GdAg4Ge4 (GGA-PBE)

Data for a relaxed Nd2GdAg4Ge4 crystal.

```
Nd2GdAg4Ge4
1.0
-2.224 3.579 7.384
2.224 -3.579 7.384
2.224 3.579 -7.384
Nd Gd Ag Ge
2 1 4 4
direct
0.127 0.127 0.000
0.873 0.873 0.000
0.500 0.000 0.500
0.136 0.331 0.805
0.474 0.669 0.805
0.526 0.331 0.195
0.864 0.669 0.195
0.185 0.500 0.685
0.284 0.784 0.500
0.716 0.216 0.500
0.815 0.500 0.315
```

## Properties
Its energy is -4.54 eV/atom.

[10]
## Al2Au2Se3S (GGA-PBE)

Data for a relaxed Al2Au2Se3S crystal.

```
Al2Au2Se3S
1.0
6.251 -2.941 0.000
6.251 2.941 0.000
-2.661 0.000 5.223
Al Au Se S
2 2 3 1
direct
0.123 0.123 0.377
0.877 0.877 0.623
0.359 0.406 0.149
0.594 0.641 0.851
0.498 0.002 0.277
0.774 0.226 0.000
0.998 0.502 0.723
0.204 0.796 0.500
```

## Properties
Its energy is -4.08 eV/atom.

[11]
## Li3LaPr2Pb3 (GGA-PBE)

Data for a relaxed Li3LaPr2Pb3 crystal.

```
Li3LaPr2Pb3
1.0
4.860 0.000 0.000
-2.430 4.209 0.000
0.000 0.000 11.764
Li La Pr Pb
3 1 2 3
direct
0.000 0.000 0.000
0.667 0.333 0.307
0.667 0.333 0.693
0.333 0.667 0.500
0.333 0.667 0.163
0.333 0.667 0.837
0.000 0.000 0.324
0.000 0.000 0.676
0.667 0.333 0.000
```

## Properties
Its energy is -4.00 eV/atom.

[12]
## K2RbP2Pt3 (GGA-PBE)

Data for a relaxed K2RbP2Pt3 crystal.

```
K2RbP2Pt3
1.0
2.873 1.659 6.840
-2.873 1.659 6.840
0.000 -3.318 6.840
K Rb P Pt
2 1 2 3
direct
0.087 0.087 0.087
0.913 0.913 0.913
0.500 0.500 0.500
0.252 0.252 0.252
0.748 0.748 0.748
0.000 0.500 0.500
0.500 0.000 0.500
0.500 0.500 0.000
```

## Properties
Its energy is -4.53 eV/atom.